{
  "formula": "Ca3In3Cu2",
  "functional": "PBE",
  "state": "relaxed",
  "lattice_angstrom": [[6.0181, 0.0000, 0.0000], [0.0000, 8.2422, 0.0000], [0.0000, 0.0000, 16.2228]],
  "species": ["Ca", "Ca", "Ca", "Ca", "Ca", "Ca", "Ca", "Ca", "Ca", "Ca", "Ca", "Ca", "In", "In", "In", "In", "In", "In", "In", "In", "In", "In", "In", "In", "Cu", "Cu", "Cu", "Cu", "Cu", "Cu", "Cu", "Cu"],
  "fractional_positions": [[0.3856, 0.9656, 0.1091], [0.8856, 0.5344, 0.6091], [0.6307, 0.3263, 0.2500], [0.8856, 0.5344, 0.8909], [0.1144, 0.4656, 0.3909], [0.6144, 0.0344, 0.8909], [0.3693, 0.6737, 0.7500], [0.1144, 0.4656, 0.1091], [0.1307, 0.1737, 0.7500], [0.6144, 0.0344, 0.6091], [0.3856, 0.9656, 0.3909], [0.8693, 0.8263, 0.2500], [0.3729, 0.6730, 0.2500], [0.6094, 0.3215, 0.0384], [0.6094, 0.3215, 0.4616], [0.1094, 0.1785, 0.5384], [0.8729, 0.8270, 0.7500], [0.1094, 0.1785, 0.9616], [0.3906, 0.6785, 0.5384], [0.6271, 0.3270, 0.7500], [0.3906, 0.6785, 0.9616], [0.8906, 0.8215, 0.0384], [0.8906, 0.8215, 0.4616], [0.1271, 0.1730, 0.2500], [0.1066, 0.8856, 0.6110], [0.8934, 0.1144, 0.1110], [0.8934, 0.1144, 0.3890], [0.6066, 0.6144, 0.3890], [0.1066, 0.8856, 0.8890], [0.6066, 0.6144, 0.1110], [0.3934, 0.3856, 0.6110], [0.3934, 0.3856, 0.8890]],
  "vol_a3_per_atom": 25.15,
  "spacegroup": "No. 62",
  "m_tot_mub_per_atom": 0.00,
  "delta_e_f_kj_per_mol_atoms": -29.8,
  "total_energy_ev_per_cell": -99.55,
  "de_polymorph_mev_per_atom": 14
}